Entry 1:
# AcY3Tc GGA-PBE relaxed
data_AcY3Tc
_chemical_formula_sum 'Ac1 Y3 Tc1'
_symmetry_space_group_name_H-M 'P m -3 m'
_symmetry_Int_Tables_number 221
_symmetry_space_group_name_Hall '-P 4 2 3'
_cell_length_a 5.4990
_cell_length_b 5.4990
_cell_length_c 5.4990
_cell_angle_alpha 90.00
_cell_angle_beta 90.00
_cell_angle_gamma 90.00
loop_
_atom_site_label
_atom_site_type_symbol
_atom_site_fract_x
_atom_site_fract_y
_atom_site_fract_z
Ac1 Ac 0.0000 0.0000 0.0000
Y1 Y 0.0000 0.5000 0.5000
Tc1 Tc 0.5000 0.5000 0.5000
# VASP energy: -6.69 eV/atom
# energy relative to the elements: 0.086 eV/atom


Entry 2:
# Ac2YTc GGA-PBE relaxed
data_Ac2YTc
_chemical_formula_sum 'Ac6 Y3 Tc3'
_symmetry_space_group_name_H-M 'R -3 m'
_symmetry_Int_Tables_number 166
_symmetry_space_group_name_Hall '-R 3 2"'
_cell_length_a 3.6560
_cell_length_b 3.6560
_cell_length_c 34.2924
_cell_angle_alpha 90.00
_cell_angle_beta 90.00
_cell_angle_gamma 120.00
loop_
_atom_site_label
_atom_site_type_symbol
_atom_site_fract_x
_atom_site_fract_y
_atom_site_fract_z
Ac1 Ac 0.0000 0.0000 0.0769
Y1 Y 0.0000 0.0000 0.5000
Tc1 Tc 0.0000 0.0000 0.0000
# VASP energy: -5.44 eV/atom
# energy relative to the elements: 0.823 eV/atom


Entry 3:
# AcY2Tc GGA-PBE relaxed
data_AcY2Tc
_chemical_formula_sum 'Ac1 Y2 Tc1'
_symmetry_space_group_name_H-M 'P 4/m m m'
_symmetry_Int_Tables_number 123
_symmetry_space_group_name_Hall '-P 4 2'
_cell_length_a 3.5462
_cell_length_b 3.5462
_cell_length_c 9.4417
_cell_angle_alpha 90.00
_cell_angle_beta 90.00
_cell_angle_gamma 90.00
loop_
_atom_site_label
_atom_site_type_symbol
_atom_site_fract_x
_atom_site_fract_y
_atom_site_fract_z
Ac1 Ac 0.0000 0.0000 0.0000
Y1 Y 0.5000 0.5000 0.3275
Tc1 Tc 0.0000 0.0000 0.5000
# VASP energy: -6.78 eV/atom
# energy relative to the elements: 0.074 eV/atom


Entry 4:
# AcYTc4 GGA-PBE relaxed
data_AcYTc4
_chemical_formula_sum 'Ac4 Y4 Tc16'
_symmetry_space_group_name_H-M 'F -4 3 m'
_symmetry_Int_Tables_number 216
_symmetry_space_group_name_Hall 'F -4 2 3'
_cell_length_a 7.8091
_cell_length_b 7.8091
_cell_length_c 7.8091
_cell_angle_alpha 90.00
_cell_angle_beta 90.00
_cell_angle_gamma 90.00
loop_
_atom_site_label
_atom_site_type_symbol
_atom_site_fract_x
_atom_site_fract_y
_atom_site_fract_z
Ac1 Ac 0.0000 0.0000 0.0000
Y1 Y 0.2500 0.2500 0.7500
Tc1 Tc 0.1246 0.1246 0.3754
# VASP energy: -8.53 eV/atom
# energy relative to the elements: 0.143 eV/atom


Entry 5:
# AcZn11Tc GGA-PBE relaxed
data_AcZn11Tc
_chemical_formula_sum 'Ac2 Zn22 Tc2'
_symmetry_space_group_name_H-M 'C 1 2/m 1'
_symmetry_Int_Tables_number 12
_symmetry_space_group_name_Hall '-C 2y'
_cell_length_a 5.1677
_cell_length_b 13.3468
_cell_length_c 6.9011
_cell_angle_alpha 90.00
_cell_angle_beta 111.85
_cell_angle_gamma 90.00
loop_
_atom_site_label
_atom_site_type_symbol
_atom_site_fract_x
_atom_site_fract_y
_atom_site_fract_z
Ac1 Ac 0.0000 0.0000 0.0000
Zn1 Zn 0.0000 0.5000 0.5000
Zn2 Zn 0.1218 0.3805 0.2344
Zn3 Zn 0.1601 0.1751 0.3650
Zn4 Zn 0.2500 0.2500 0.0000
Tc1 Tc 0.0000 0.0000 0.5000
# VASP energy: -2.31 eV/atom
# energy relative to the elements: -0.121 eV/atom


Entry 6:
# Ac4ZnTc GGA-PBE relaxed
data_Ac4ZnTc
_chemical_formula_sum 'Ac16 Zn4 Tc4'
_symmetry_space_group_name_H-M 'C 1 2/c 1'
_symmetry_Int_Tables_number 15
_symmetry_space_group_name_Hall '-C 2yc'
_cell_length_a 9.6349
_cell_length_b 14.0724
_cell_length_c 6.6968
_cell_angle_alpha 90.00
_cell_angle_beta 115.18
_cell_angle_gamma 90.00
loop_
_atom_site_label
_atom_site_type_symbol
_atom_site_fract_x
_atom_site_fract_y
_atom_site_fract_z
Ac1 Ac 0.1133 0.1717 0.0683
Ac2 Ac 0.2145 0.4269 0.3335
Zn1 Zn 0.0000 0.3777 0.7500
Tc1 Tc 0.0000 0.0005 0.2500
# VASP energy: -4.70 eV/atom
# energy relative to the elements: -0.022 eV/atom


Entry 7:
# AcZr2Tc GGA-PBE relaxed
data_AcZr2Tc
_chemical_formula_sum 'Ac1 Zr2 Tc1'
_symmetry_space_group_name_H-M 'P 4/m m m'
_symmetry_Int_Tables_number 123
_symmetry_space_group_name_Hall '-P 4 2'
_cell_length_a 3.4011
_cell_length_b 3.4011
_cell_length_c 8.5305
_cell_angle_alpha 90.00
_cell_angle_beta 90.00
_cell_angle_gamma 90.00
loop_
_atom_site_label
_atom_site_type_symbol
_atom_site_fract_x
_atom_site_fract_y
_atom_site_fract_z
Ac1 Ac 0.0000 0.0000 0.0000
Zr1 Zr 0.5000 0.5000 0.3199
Tc1 Tc 0.0000 0.0000 0.5000
# VASP energy: -7.91 eV/atom
# polymorph energy (0 for the lowest one): 0 meV per atom
# energy relative to the elements: -0.019 eV/atom


Entry 8:
# AcZr2Tc GGA-PBE relaxed
data_AcZr2Tc
_chemical_formula_sum 'Ac3 Zr6 Tc3'
_symmetry_space_group_name_H-M 'R -3 m'
_symmetry_Int_Tables_number 166
_symmetry_space_group_name_Hall '-R 3 2"'
_cell_length_a 3.3441
_cell_length_b 3.3441
_cell_length_c 31.5529
_cell_angle_alpha 90.00
_cell_angle_beta 90.00
_cell_angle_gamma 120.00
loop_
_atom_site_label
_atom_site_type_symbol
_atom_site_fract_x
_atom_site_fract_y
_atom_site_fract_z
Ac1 Ac 0.0000 0.0000 0.0000
Zr1 Zr 0.0000 0.0000 0.1052
Tc1 Tc 0.0000 0.0000 0.5000
# VASP energy: -7.58 eV/atom
# polymorph energy (0 for the lowest one): 336 meV per atom
# energy relative to the elements: 0.317 eV/atom


Copy entry 8 word for word.
# AcZr2Tc GGA-PBE relaxed
data_AcZr2Tc
_chemical_formula_sum 'Ac3 Zr6 Tc3'
_symmetry_space_group_name_H-M 'R -3 m'
_symmetry_Int_Tables_number 166
_symmetry_space_group_name_Hall '-R 3 2"'
_cell_length_a 3.3441
_cell_length_b 3.3441
_cell_length_c 31.5529
_cell_angle_alpha 90.00
_cell_angle_beta 90.00
_cell_angle_gamma 120.00
loop_
_atom_site_label
_atom_site_type_symbol
_atom_site_fract_x
_atom_site_fract_y
_atom_site_fract_z
Ac1 Ac 0.0000 0.0000 0.0000
Zr1 Zr 0.0000 0.0000 0.1052
Tc1 Tc 0.0000 0.0000 0.5000
# VASP energy: -7.58 eV/atom
# polymorph energy (0 for the lowest one): 336 meV per atom
# energy relative to the elements: 0.317 eV/atom